## i
A plane-wave DFT calculation with PBE was carried out for crystalline MoAsS3 at its relaxed geometry.

Computed properties:
DOS at the Fermi energy (states/eV/cell): 4.35

```
data_MoAsS3
_space_group_name_H-M_alt 'P m -3 m'
_space_group_IT_number 221
_space_group_name_Hall '-P 4 2 3'
_cell_length_a 4.686
_cell_length_b 4.686
_cell_length_c 4.686
_cell_angle_alpha 90.00
_cell_angle_beta 90.00
_cell_angle_gamma 90.00
loop_
_atom_site_label
_atom_site_fract_x
_atom_site_fract_y
_atom_site_fract_z
_atom_site_occupancy
Mo1 0.000 0.000 0.000 1
As1 0.500 0.500 0.500 1
S1 0.000 0.500 0.500 1
```


## ii
A plane-wave DFT calculation with PBE was carried out for crystalline MoAsS3 at its relaxed geometry.

Computed properties:
DOS at the Fermi energy (states/eV/cell): 4.22

```
data_MoAsS3
_space_group_name_H-M_alt 'P m -3 m'
_space_group_IT_number 221
_space_group_name_Hall '-P 4 2 3'
_cell_length_a 4.687
_cell_length_b 4.687
_cell_length_c 4.687
_cell_angle_alpha 90.00
_cell_angle_beta 90.00
_cell_angle_gamma 90.00
loop_
_atom_site_label
_atom_site_fract_x
_atom_site_fract_y
_atom_site_fract_z
_atom_site_occupancy
Mo1 0.000 0.000 0.000 1
As1 0.500 0.500 0.500 1
S1 0.000 0.000 0.500 1
```


Compare the structures above. Which one is the most stable? ii is.